Entry from the Alexandria database: an optimized crystal structure of P2RuBrCl (GGA-PBEsol).

Cell and atoms, written as POSCAR:
```
P2RuBrCl
1.0
4.7368 0.0000 0.0000
0.0000 4.7368 0.0000
0.0000 0.0000 4.8194
P Ru Br Cl
2 1 1 1
Direct
0.0000 0.5000 0.0000
0.5000 0.0000 0.0000
0.0000 0.0000 0.5000
0.5000 0.5000 0.0000
0.5000 0.5000 0.5000
```

Results
Energy relative to the elements, uncorrected, eV per atom: 1.870
E, eV per atom: -3.257

Entry from the Alexandria database: an optimized crystal structure of SnP2BrCl (GGA-PBEsol).

Cell and atoms, written as POSCAR:
```
SnP2BrCl
1.0
4.8298 0.0000 0.0000
0.0000 4.8298 0.0000
0.0000 0.0000 5.0508
Sn P Br Cl
1 2 1 1
Direct
0.0000 0.0000 0.0000
0.0000 0.5000 0.5000
0.5000 0.0000 0.5000
0.5000 0.5000 0.5000
0.5000 0.5000 0.0000
```

Results
Energy relative to the elements, uncorrected, eV per atom: 0.879
E, eV per atom: -3.065

Entry from the Alexandria database: an optimized crystal structure of SnPBrCl2 (GGA-PBEsol).

Cell and atoms, written as POSCAR:
```
SnPBrCl2
1.0
5.0538 0.0000 0.0000
0.0000 5.0538 0.0000
0.0000 0.0000 4.9687
Sn P Br Cl
1 1 1 2
Direct
0.0000 0.0000 0.0000
0.5000 0.5000 0.0000
0.5000 0.5000 0.5000
0.0000 0.5000 0.5000
0.5000 0.0000 0.5000
```

Results
Energy relative to the elements, uncorrected, eV per atom: 0.515
E, eV per atom: -2.672

Entry from the Alexandria database: an optimized crystal structure of TiP2BrCl (GGA-PBEsol).

Cell and atoms, written as POSCAR:
```
TiP2BrCl
1.0
4.7328 0.0000 0.0000
0.0000 4.7328 0.0000
0.0000 0.0000 4.8799
Ti P Br Cl
1 2 1 1
Direct
0.0000 0.0000 0.0000
0.0000 0.5000 0.5000
0.5000 0.0000 0.5000
0.5000 0.5000 0.5000
0.5000 0.5000 0.0000
```

Results
Energy relative to the elements, uncorrected, eV per atom: 1.109
E, eV per atom: -3.648